Here is a relaxed structure of TlB3Te from the Alexandria database. Energies are from GGA-PBE.

Computed properties:
The calculation puts the volume at 18.8 Å³ per atom. As for the raw total energy: -15.221 eV/cell. The formation energy (no corrections) is 199.12 kJ/mol of atoms.

The structure in POSCAR format:
```
TlB3Te
1.0
4.5457 0.0000 0.0000
0.0000 4.5457 0.0000
0.0000 0.0000 4.5457
Tl B Te
1 3 1
direct
0.0000 0.0000 0.0000
0.0000 0.5000 0.5000
0.5000 0.0000 0.5000
0.5000 0.5000 0.0000
0.5000 0.5000 0.5000
```